Entry 1:
# CdAs2Ru

CdAs2Ru after structural relaxation (PBE, the Alexandria database).

Structure (extended XYZ):
```
4
Lattice="3.066 0.000 0.000 0.000 3.905 0.000 0.000 0.000 6.148" Properties=species:S:1:pos:R:3 pbc="T T T"
Cd 0.000 0.000 0.000
As 0.000 0.000 2.765
As 1.533 1.953 4.599
Ru 1.533 1.953 2.093
```

Values from the calculation:
SG: No. 25
M_tot (μB/f.u.): 0.00
Energy of formation (meV/atom): 186

=====

Entry 2:
# InHgP2O

InHgP2O after structural relaxation (PBE, the Alexandria database).

Structure (extended XYZ):
```
5
Lattice="5.135 0.000 0.000 0.000 5.135 0.000 0.000 0.000 4.130" Properties=species:S:1:pos:R:3 pbc="T T T"
In 0.000 0.000 0.000
Hg 2.567 2.567 2.065
P 0.000 2.567 2.065
P 2.567 0.000 2.065
O 2.567 2.567 0.000
```

Values from the calculation:
SG: No. 123
Formation energy from raw total energies (meV per atom): 839
M_tot (μB/f.u.): 0.14
Polymorph energy (0 for the lowest one) (meV per atom): 210.7

=====

Entry 3:
# MgInPb2

MgInPb2 after structural relaxation (PBE, the Alexandria database).

Structure (extended XYZ):
```
8
Lattice="3.607 0.000 0.000 0.000 5.598 0.000 0.000 0.000 11.067" Properties=species:S:1:pos:R:3 pbc="T T T"
Mg 0.000 0.000 0.000
Mg 1.804 2.799 5.533
In 0.000 2.799 3.012
In 1.804 0.000 8.546
Pb 0.000 0.000 5.690
Pb 0.000 2.799 8.197
Pb 1.804 0.000 2.663
Pb 1.804 2.799 0.157
```

Values from the calculation:
SG: No. 44
M_tot (μB/f.u.): 0.00
Energy of formation (meV/atom): 4

=====

Entry 4:
# AsCSe2

AsCSe2 after structural relaxation (PBE, the Alexandria database).

Structure (extended XYZ):
```
16
Lattice="6.216 0.000 0.000 0.000 6.216 0.000 0.000 0.000 8.116" Properties=species:S:1:pos:R:3 pbc="T T T"
As 0.000 0.000 0.000
As 0.000 3.108 2.029
As 3.108 0.000 6.087
As 3.108 3.108 4.058
C 0.000 0.000 4.058
C 0.000 3.108 6.087
C 3.108 0.000 2.029
C 3.108 3.108 0.000
Se 1.115 1.554 5.072
Se 1.554 4.223 7.101
Se 1.554 5.101 3.043
Se 1.993 1.554 1.014
Se 4.223 4.662 1.014
Se 4.662 1.115 3.043
Se 4.662 1.993 7.101
Se 5.101 4.662 5.072
```

Values from the calculation:
SG: No. 122
Formation energy from raw total energies (meV per atom): 1089
M_tot (μB/f.u.): 0.00
Polymorph energy (0 for the lowest one) (meV per atom): 97.0

=====

Entry 5:
# RbCu4Ag3Br12

RbCu4Ag3Br12 after structural relaxation (PBE, the Alexandria database).

Structure (extended XYZ):
```
20
Lattice="7.143 4.124 3.685 -7.143 4.124 3.685 0.000 -8.248 3.685" Properties=species:S:1:pos:R:3 pbc="T T T"
Rb 0.000 0.000 0.000
Cu -3.009 -5.211 5.528
Cu 0.000 0.000 5.528
Cu -3.009 5.211 5.528
Cu 6.018 0.000 5.528
Ag -4.069 -1.200 3.685
Ag 3.074 -2.924 3.685
Ag 0.995 4.124 3.685
Br -4.530 -3.552 5.110
Br -5.903 0.000 5.528
Br -0.811 -5.699 5.946
Br -2.342 0.000 5.528
Br -4.530 3.552 5.946
Br 2.952 -5.113 5.528
Br 1.171 -2.028 5.528
Br -0.811 5.699 5.110
Br 1.171 2.028 5.528
Br 5.341 -2.147 5.110
Br 2.952 5.113 5.528
Br 5.341 2.147 5.946
```

Values from the calculation:
SG: No. 155
Formation energy from raw total energies (meV per atom): -401
M_tot (μB/f.u.): 0.00

=====

Entry 6:
# InCo2Tc

InCo2Tc after structural relaxation (PBE, the Alexandria database).

Structure (extended XYZ):
```
12
Lattice="2.793 0.000 0.000 -1.397 2.419 0.000 0.000 0.000 25.427" Properties=species:S:1:pos:R:3 pbc="T T T"
In 0.000 0.000 0.000
In 0.000 1.613 16.952
In 1.397 0.806 8.476
Co 0.000 0.000 6.232
Co 0.000 0.000 19.195
Co 0.000 1.613 10.719
Co 0.000 1.613 23.184
Co 1.397 0.806 2.243
Co 1.397 0.806 14.708
Tc 0.000 0.000 12.714
Tc 0.000 1.613 4.238
Tc 1.397 0.806 21.189
```

Values from the calculation:
SG: No. 166
M_tot (μB/f.u.): 2.21
Energy of formation (meV/atom): 373
Polymorph energy (0 for the lowest one) (meV per atom): 227.0